[1]
VInFe: relaxed, PBE.

Cell: 3.948 3.948 6.163 Å, 90.05 90.05 90.00°
Sites, in units of the cell vectors:
1 V 0.250 0.250 0.206
2 V 0.750 0.750 0.794
3 In 0.250 0.250 0.671
4 In 0.750 0.750 0.329
5 Fe 0.250 0.750 0.000
6 Fe 0.750 0.250 0.000

Summary:
For the total energy, the calculation gives -6.613 eV/atom. For the formation energy, the calculation gives 0.1603 eV/atom. The calculated density is 7.7 g/cm³. The crystal system is monoclinic.

---

[2]
VInFe3: relaxed, PBE.

Cell: 4.317 4.317 4.317 Å, 90.00 90.00 90.00°
Sites, in units of the cell vectors:
1 V 0.000 0.000 0.000
2 In 0.500 0.500 0.500
3 Fe 0.000 0.000 0.500
4 Fe 0.000 0.500 0.000
5 Fe 0.500 0.000 0.000

Summary:
For the total energy, the calculation gives -6.536 eV/atom. Its energy relative to the lowest polymorph listed for this composition is 0 meV per atom. For the formation energy, the calculation gives 0.9128 eV/atom. The calculated density is 6.9 g/cm³. The crystal system is cubic.

---

[3]
VIn2Fe2: relaxed, PBE.

Cell: 6.116 6.116 4.236 Å, 90.00 90.00 90.00°
Sites, in units of the cell vectors:
1 V 0.000 0.000 0.000
2 V 0.500 0.500 0.000
3 In 0.177 0.323 0.500
4 In 0.323 0.823 0.500
5 In 0.677 0.177 0.500
6 In 0.823 0.677 0.500
7 Fe 0.132 0.632 0.000
8 Fe 0.368 0.132 0.000
9 Fe 0.632 0.868 0.000
10 Fe 0.868 0.368 0.000

Summary:
For the total energy, the calculation gives -6.060 eV/atom. For the formation energy, the calculation gives 0.2439 eV/atom. The calculated density is 8.2 g/cm³. The crystal system is tetragonal.

---

[4]
VInFe: relaxed, PBE.

Cell: 5.502 5.502 5.502 Å, 148.44 148.44 45.24°
Sites, in units of the cell vectors:
1 V 0.000 0.000 0.000
2 In 0.699 0.699 0.000
3 Fe 0.385 0.385 0.000

Summary:
For the total energy, the calculation gives -6.675 eV/atom. For the formation energy, the calculation gives 0.0985 eV/atom. The calculated density is 8.1 g/cm³. The crystal system is tetragonal.